Sc2InGe2 at its PBEsol-relaxed geometry, computed with meta-GGA SCAN.

Output
The formation energy comes out at -0.45 eV/atom. As for the space group: I4/mmm (139).

Cell lengths 8.528, 8.528, 8.528 Å; angles 155.69, 155.69, 34.65 degrees
Fractional positions:
Sc1 0.114 0.114 0.000
Sc2 0.886 0.886 0.000
In1 0.500 0.500 0.000
Ge1 0.250 0.750 0.500
Ge2 0.750 0.250 0.500